(1)
First-principles (PBE) data for an optimized crystal structure of TmBiSb, as listed in the Open Quantum Materials Database.

Cell lengths 5.1882, 5.1882, 5.1882 Å; angles 60.00, 60.00, 60.00 degrees
With the nearest neighbours (Å) after each atom.
Element x y z (fractional)
Tm 0.0000 0.0000 0.0000  4 Sb 3.18, 4 Bi 3.18
Bi 0.7500 0.7500 0.7500  4 Tm 3.18
Sb 0.2500 0.2500 0.2500  4 Tm 3.18

## Properties
The total moment comes out at 0.001 μB/f.u. Its space group is F-43m. For the total energy, the calculation gives -4.493 eV per atom. As for the density: 8.40 g/cm³.

=====

(2)
First-principles (PBE) data for an optimized crystal structure of ErTmCoSiGe, as listed in the Open Quantum Materials Database.

Cell lengths 5.5228, 5.5228, 9.9648 Å; angles 115.24, 115.24, 44.28 degrees
With the nearest neighbours (Å) after each atom.
Element x y z (fractional)
Er 0.1898 0.1898 0.1108  1 Ge 2.91, 5 Si 2.93-3.05, 2 Co 2.99
Er 0.8102 0.8102 0.8892  1 Ge 2.91, 5 Si 2.93-3.05, 2 Co 2.99
Tm 0.0065 0.0065 0.3296  2 Si 2.91, 5 Ge 2.95-3.16, 4 Co 2.96-3.18
Tm 0.9935 0.9935 0.6704  2 Si 2.91, 5 Ge 2.95-3.16, 4 Co 2.96-3.18
Co 0.2775 0.2775 0.6598  1 Si 2.37, 3 Ge 2.39-2.58
Co 0.7225 0.7225 0.3402  1 Si 2.37, 3 Ge 2.39-2.58
Si 0.4917 0.4917 0.1196  1 Co 2.37, 1 Si 2.47
Si 0.5083 0.5083 0.8804  1 Co 2.37, 1 Si 2.47
Ge 0.3441 0.3441 0.4395  3 Co 2.39-2.58
Ge 0.6559 0.6559 0.5605  3 Co 2.39-2.58

## Properties
The total moment comes out at 0.001 μB/f.u. Its space group is C2/m. For the total energy, the calculation gives -5.992 eV per atom. As for the density: 8.74 g/cm³.

=====

(3)
First-principles (PBE) data for an optimized crystal structure of Li2Cd2Sn2IrPd, as listed in the Open Quantum Materials Database.

Cell lengths 4.6099, 4.6099, 6.5366 Å; angles 90.00, 90.00, 90.00 degrees
With the nearest neighbours (Å) after each atom.
Element x y z (fractional)
Li 0.0000 0.0000 0.0000  4 Cd 2.82, 4 Sn 2.85
Li 0.5000 0.5000 0.5000  4 Sn 2.80, 4 Cd 2.83
Cd 0.0000 0.5000 0.2484  4 Li 2.82-2.83, 2 Pd 2.82, 2 Ir 2.83
Cd 0.5000 0.0000 0.7516  4 Li 2.82-2.83, 2 Pd 2.82, 2 Ir 2.83
Sn 0.0000 0.5000 0.7429  4 Li 2.80-2.85, 2 Ir 2.80, 2 Pd 2.85
Sn 0.5000 0.0000 0.2571  4 Li 2.80-2.85, 2 Ir 2.80, 2 Pd 2.85
Ir 0.0000 0.0000 0.5000  4 Sn 2.80, 4 Cd 2.83
Pd 0.5000 0.5000 0.0000  4 Cd 2.82, 4 Sn 2.85

## Properties
The total moment comes out at 0.000 μB/f.u. Its space group is P-4m2. For the total energy, the calculation gives -3.819 eV per atom. As for the density: 9.26 g/cm³.

=====

(4)
First-principles (PBE) data for an optimized crystal structure of AlPd2W, as listed in the Open Quantum Materials Database.

Cell lengths 4.4032, 4.4032, 4.4032 Å; angles 60.00, 60.00, 60.00 degrees
With the nearest neighbours (Å) after each atom.
Element x y z (fractional)
Al 0.0000 0.0000 0.0000  4 W 2.70, 4 Pd 2.70
Pd 0.5000 0.5000 0.5000  4 W 2.70, 4 Pd 2.70
Pd 0.7500 0.7500 0.7500  4 Al 2.70, 4 Pd 2.70
W 0.2500 0.2500 0.2500  4 Al 2.70, 4 Pd 2.70

## Properties
The total moment comes out at 0.001 μB/f.u. Its space group is F-43m. For the total energy, the calculation gives -6.826 eV per atom. As for the density: 11.65 g/cm³.

=====

(5)
First-principles (PBE) data for an optimized crystal structure of GeMoAu, as listed in the Open Quantum Materials Database.

Cell lengths 4.4051, 4.4051, 4.4051 Å; angles 60.00, 60.00, 60.00 degrees
With the nearest neighbours (Å) after each atom.
Element x y z (fractional)
Ge 0.0000 0.0000 0.0000  4 Au 2.70
Mo 0.5000 0.5000 0.5000  4 Au 2.70
Au 0.2500 0.2500 0.2500  4 Ge 2.70, 4 Mo 2.70

## Properties
The total moment comes out at 2.894 μB/f.u. Its space group is F-43m. For the total energy, the calculation gives -5.505 eV per atom. As for the density: 10.04 g/cm³.

=====

(6)
First-principles (PBE) data for an optimized crystal structure of GdHo2Te3, as listed in the Open Quantum Materials Database.

Cell lengths 4.3449, 4.3449, 10.6657 Å; angles 90.00, 90.00, 120.00 degrees
With the nearest neighbours (Å) after each atom.
Element x y z (fractional)
Gd 0.0000 0.0000 0.0000  6 Te 3.10
Ho 0.3333 0.6667 0.6656  6 Te 3.06-3.07
Ho 0.6667 0.3333 0.3344  6 Te 3.06-3.07
Te 0.0000 0.0000 0.5000  6 Ho 3.07
Te 0.3333 0.6667 0.1709  3 Ho 3.06, 3 Gd 3.10
Te 0.6667 0.3333 0.8291  3 Ho 3.06, 3 Gd 3.10

## Properties
The total moment comes out at 0.004 μB/f.u. Its space group is P-3m1. For the total energy, the calculation gives -5.149 eV per atom. As for the density: 8.28 g/cm³.

=====

(7)
First-principles (PBE) data for an optimized crystal structure of PmPuTh, as listed in the Open Quantum Materials Database.

Cell lengths 5.3274, 5.3274, 5.3274 Å; angles 60.00, 60.00, 60.00 degrees
With the nearest neighbours (Å) after each atom.
Element x y z (fractional)
Pm 0.0000 0.0000 0.0000  4 Th 3.26
Pu 0.5000 0.5000 0.5000  4 Th 3.26
Th 0.2500 0.2500 0.2500  4 Pu 3.26, 4 Pm 3.26

## Properties
The total moment comes out at 6.862 μB/f.u. The formation energy from the elements comes out at 2.5 eV per formula unit. Its space group is F-43m. As for the density: 9.65 g/cm³.

=====

(8)
First-principles (PBE) data for an optimized crystal structure of LiFe3Se5, as listed in the Open Quantum Materials Database.

Cell lengths 5.5242, 5.5242, 6.9224 Å; angles 90.00, 90.00, 120.00 degrees
With the nearest neighbours (Å) after each atom.
Element x y z (fractional)
Li 0.0000 0.0000 0.0000  14 Se 3.46-3.61
Fe 0.0000 0.5000 0.5000  4 Se 2.39
Fe 0.5000 0.0000 0.5000  4 Se 2.39
Fe 0.5000 0.5000 0.5000  4 Se 2.39
Se 0.0000 0.0000 0.5000  6 Fe 2.76
Se 0.3333 0.6667 0.2438  3 Fe 2.39
Se 0.3333 0.6667 0.7562  3 Fe 2.39
Se 0.6667 0.3333 0.2438  3 Fe 2.39
Se 0.6667 0.3333 0.7562  3 Fe 2.39

## Properties
The total moment comes out at 6.280 μB/f.u. Its space group is P6/mmm. For the total energy, the calculation gives -5.116 eV per atom. As for the density: 5.17 g/cm³.

=====

(9)
First-principles (PBE) data for an optimized crystal structure of HfGaRe, as listed in the Open Quantum Materials Database.

Cell lengths 4.4461, 4.4461, 4.4461 Å; angles 60.00, 60.00, 60.00 degrees
With the nearest neighbours (Å) after each atom.
Element x y z (fractional)
Hf 0.0000 0.0000 0.0000  4 Re 2.72, 4 Ga 2.72
Ga 0.7500 0.7500 0.7500  4 Hf 2.72
Re 0.2500 0.2500 0.2500  4 Hf 2.72

## Properties
The total moment comes out at 0.008 μB/f.u. Its space group is F-43m. For the total energy, the calculation gives -7.723 eV per atom. As for the density: 11.61 g/cm³.

=====

(10)
First-principles (PBE) data for an optimized crystal structure of MgNbCoPb, as listed in the Open Quantum Materials Database.

Cell lengths 4.6151, 4.6151, 4.6151 Å; angles 60.00, 60.00, 60.00 degrees
With the nearest neighbours (Å) after each atom.
Element x y z (fractional)
Mg 0.0000 0.0000 0.0000  4 Nb 2.83, 4 Pb 2.83
Nb 0.7500 0.7500 0.7500  4 Co 2.83, 4 Mg 2.83
Co 0.5000 0.5000 0.5000  4 Nb 2.83, 4 Pb 2.83
Pb 0.2500 0.2500 0.2500  4 Co 2.83, 4 Mg 2.83

## Properties
The total moment comes out at 0.660 μB/f.u. Its space group is F-43m. For the total energy, the calculation gives -5.130 eV per atom. As for the density: 9.16 g/cm³.

=====

(11)
First-principles (PBE) data for an optimized crystal structure of AgPt2W, as listed in the Open Quantum Materials Database.

Cell lengths 4.4929, 4.4929, 4.4929 Å; angles 60.00, 60.00, 60.00 degrees
With the nearest neighbours (Å) after each atom.
Element x y z (fractional)
Ag 0.0000 0.0000 0.0000  4 W 2.75, 4 Pt 2.75
Pt 0.2500 0.2500 0.2500  4 Pt 2.75, 4 Ag 2.75
Pt 0.5000 0.5000 0.5000  4 W 2.75, 4 Pt 2.75
W 0.7500 0.7500 0.7500  4 Pt 2.75, 4 Ag 2.75

## Properties
The total moment comes out at 0.002 μB/f.u. The formation energy from the elements comes out at 1.1 eV per formula unit. Its space group is F-43m. As for the density: 17.66 g/cm³.

=====

(12)
First-principles (PBE) data for an optimized crystal structure of AgBAu2, as listed in the Open Quantum Materials Database.

Cell lengths 4.4952, 4.4952, 4.4952 Å; angles 60.00, 60.00, 60.00 degrees
With the nearest neighbours (Å) after each atom.
Element x y z (fractional)
Ag 0.0000 0.0000 0.0000  4 B 2.75, 4 Au 2.75
B 0.7500 0.7500 0.7500  4 Ag 2.75, 4 Au 2.75
Au 0.2500 0.2500 0.2500  4 Au 2.75, 4 Ag 2.75
Au 0.5000 0.5000 0.5000  4 B 2.75, 4 Au 2.75

## Properties
Its space group is F-43m. For the total energy, the calculation gives -3.167 eV per atom. As for the density: 13.25 g/cm³.

=====

Please write out number 5 again, unchanged.
First-principles (PBE) data for an optimized crystal structure of GeMoAu, as listed in the Open Quantum Materials Database.

Cell lengths 4.4051, 4.4051, 4.4051 Å; angles 60.00, 60.00, 60.00 degrees
With the nearest neighbours (Å) after each atom.
Element x y z (fractional)
Ge 0.0000 0.0000 0.0000  4 Au 2.70
Mo 0.5000 0.5000 0.5000  4 Au 2.70
Au 0.2500 0.2500 0.2500  4 Ge 2.70, 4 Mo 2.70

## Properties
The total moment comes out at 2.894 μB/f.u. Its space group is F-43m. For the total energy, the calculation gives -5.505 eV per atom. As for the density: 10.04 g/cm³.